[1]
This record from the Alexandria database describes a relaxed Tb6TlP3S2 crystal. The functional is PBE-GGA.

Lattice parameters (Å, degrees): 4.009 8.224 9.069 102.55 102.77 90.00
Element x y z (fractional)
P  0.834  0.167  0.668
P  0.166  0.833  0.332
P  0.500  0.500  0.000
Tl  0.500  0.000  0.000
S  0.830  0.659  0.659
S  0.170  0.341  0.341
Tb  0.998  0.726  0.996
Tb  0.675  0.087  0.350
Tb  0.002  0.274  0.004
Tb  0.665  0.591  0.331
Tb  0.335  0.409  0.669
Tb  0.325  0.913  0.650

[2]
This record from the Alexandria database describes a relaxed Tb8Tl3P3S crystal. The functional is PBE-GGA.

Lattice parameters (Å, degrees): 7.883 7.876 8.899 116.22 90.02 120.04
Element x y z (fractional)
Tl  0.000  0.000  0.000
Tl  0.500  0.500  0.000
Tl  0.000  0.500  0.000
Tb  0.762  0.028  0.291
Tb  0.238  0.475  0.709
Tb  0.238  0.972  0.709
Tb  0.734  0.971  0.709
Tb  0.265  0.530  0.295
Tb  0.762  0.525  0.291
Tb  0.735  0.470  0.705
Tb  0.266  0.029  0.291
P  0.500  0.000  0.500
P  0.000  0.500  0.500
P  0.500  0.500  0.500
S  0.000  0.000  0.500

[3]
This record from the Alexandria database describes a relaxed Tb8Tl3PS3 crystal. The functional is PBE-GGA.

Lattice parameters (Å, degrees): 7.779 7.787 8.926 115.83 90.01 120.05
Element x y z (fractional)
Tb  0.265  0.531  0.296
Tb  0.765  0.530  0.294
Tb  0.235  0.470  0.706
Tb  0.764  0.028  0.293
Tb  0.264  0.028  0.293
Tb  0.735  0.469  0.704
Tb  0.236  0.972  0.707
Tb  0.736  0.972  0.707
P  0.000  0.000  0.500
Tl  0.000  0.000  0.000
Tl  0.000  0.500  0.000
Tl  0.500  0.500  0.000
S  0.500  0.000  0.500
S  0.000  0.500  0.500
S  0.500  0.500  0.500

[4]
This record from the Alexandria database describes a relaxed TbTmPS crystal. The functional is PBE-GGA.

Lattice parameters (Å, degrees): 3.938 3.938 6.846 73.29 73.29 60.00
Element x y z (fractional)
P  0.942  0.942  0.174
Tb  0.691  0.691  0.927
Tm  0.197  0.197  0.409
S  0.446  0.446  0.662

[5]
This record from the Alexandria database describes a relaxed TbZnPS crystal. The functional is PBE-GGA.

Lattice parameters (Å, degrees): 4.053 4.053 13.461 81.34 81.34 60.00
Element x y z (fractional)
Tb  0.911  0.911  0.268
Tb  0.089  0.089  0.732
P  0.374  0.374  0.878
P  0.626  0.626  0.122
S  0.787  0.787  0.640
S  0.213  0.213  0.360
Zn  0.690  0.690  0.931
Zn  0.310  0.310  0.069

[6]
This record from the Alexandria database describes a relaxed TbZrPS crystal. The functional is PBE-GGA.

Lattice parameters (Å, degrees): 4.545 4.545 10.417 77.40 77.40 60.00
Element x y z (fractional)
P  0.884  0.884  0.348
P  0.116  0.116  0.652
S  0.705  0.705  0.884
S  0.295  0.295  0.116
Zr  0.202  0.202  0.393
Zr  0.798  0.798  0.607
Tb  0.614  0.614  0.158
Tb  0.386  0.386  0.842

[7]
This record from the Alexandria database describes a relaxed TcPS2 crystal. The functional is PBE-GGA.

Lattice parameters (Å, degrees): 3.973 4.045 4.771 88.22 89.73 79.35
Element x y z (fractional)
S  0.107  0.709  0.482
S  0.667  0.255  0.030
Tc  0.596  0.763  0.780
P  0.089  0.840  0.046

[8]
This record from the Alexandria database describes a relaxed TcPS2 crystal. The functional is PBE-GGA.

Lattice parameters (Å, degrees): 5.770 3.063 9.540 90.00 92.57 90.00
Element x y z (fractional)
P  0.420  0.000  0.600
P  0.099  0.500  0.186
S  0.611  0.500  0.508
S  0.940  0.000  0.822
S  0.442  0.500  0.863
S  0.599  0.000  0.139
Tc  0.821  0.500  0.994
Tc  0.221  0.000  0.005

[9]
This record from the Alexandria database describes a relaxed TcPS2 crystal. The functional is PBE-GGA.

Lattice parameters (Å, degrees): 4.300 5.571 8.030 72.99 86.20 80.46
Element x y z (fractional)
P  0.637  0.650  0.883
P  0.363  0.350  0.117
Tc  0.916  0.221  0.052
Tc  0.084  0.779  0.948
S  0.624  0.328  0.320
S  0.975  0.811  0.223
S  0.025  0.189  0.777
S  0.376  0.672  0.680

[10]
This record from the Alexandria database describes a relaxed TcPS2 crystal. The functional is PBE-GGA.

Lattice parameters (Å, degrees): 5.845 3.147 20.051 90.00 106.32 90.00
Element x y z (fractional)
S  0.807  0.000  0.551
S  0.280  0.000  0.749
S  0.280  0.500  0.249
S  0.331  0.500  0.571
S  0.807  0.500  0.051
S  0.825  0.500  0.417
S  0.331  0.000  0.071
S  0.825  0.000  0.917
Tc  0.112  0.500  0.987
Tc  0.517  0.500  0.481
Tc  0.112  0.000  0.487
Tc  0.517  0.000  0.981
P  0.097  0.000  0.286
P  0.097  0.500  0.786
P  0.300  0.000  0.400
P  0.300  0.500  0.900

[11]
This record from the Alexandria database describes a relaxed TcPS2 crystal. The functional is PBE-GGA.

Lattice parameters (Å, degrees): 5.983 3.138 17.714 90.00 90.17 90.00
Element x y z (fractional)
S  0.965  0.000  0.904
S  0.465  0.000  0.428
S  0.612  0.000  0.068
S  0.965  0.500  0.404
S  0.570  0.500  0.263
S  0.612  0.500  0.568
S  0.570  0.000  0.763
S  0.465  0.500  0.928
P  0.106  0.500  0.093
P  0.363  0.500  0.808
P  0.106  0.000  0.593
P  0.363  0.000  0.308
Tc  0.841  0.500  0.996
Tc  0.841  0.000  0.496
Tc  0.231  0.000  0.998
Tc  0.231  0.500  0.498

[12]
This record from the Alexandria database describes a relaxed TcPS2 crystal. The functional is PBE-GGA.

Lattice parameters (Å, degrees): 6.369 3.178 14.274 90.00 93.33 90.00
Element x y z (fractional)
P  0.992  0.500  0.988
P  0.992  0.000  0.488
P  0.836  0.000  0.629
P  0.836  0.500  0.129
S  0.103  0.000  0.164
S  0.103  0.500  0.664
S  0.802  0.500  0.289
S  0.587  0.500  0.611
S  0.587  0.000  0.111
S  0.802  0.000  0.789
S  0.402  0.500  0.901
S  0.402  0.000  0.401
Tc  0.052  0.500  0.833
Tc  0.052  0.000  0.333
Tc  0.269  0.000  0.008
Tc  0.269  0.500  0.508

[13]
This record from the Alexandria database describes a relaxed TcPS2 crystal. The functional is PBE-GGA.

Lattice parameters (Å, degrees): 3.958 5.629 7.191 75.29 84.15 88.03
Element x y z (fractional)
Tc  0.730  0.875  0.138
Tc  0.002  0.380  0.193
S  0.567  0.564  0.996
S  0.109  0.662  0.366
S  0.601  0.141  0.796
S  0.445  0.916  0.628
P  0.511  0.166  0.343
P  0.228  0.084  0.041

[14]
This record from the Alexandria database describes a relaxed TcP2S2 crystal. The functional is PBE-GGA.

Output
Its energy above the most stable polymorph in this dataset is 0.000 eV per atom.

Lattice parameters (Å, degrees): 4.705 4.705 4.373 90.00 90.00 90.00
Element x y z (fractional)
S  0.500  0.500  0.500
S  0.000  0.000  0.500
Tc  0.000  0.000  0.000
P  0.000  0.500  0.000
P  0.500  0.000  0.000

[15]
This record from the Alexandria database describes a relaxed TcPS3 crystal. The functional is PBE-GGA.

Output
Its energy above the most stable polymorph in this dataset is 0.000 eV per atom.

Lattice parameters (Å, degrees): 4.595 4.595 4.595 90.00 90.00 90.00
Element x y z (fractional)
S  0.500  0.000  0.000
S  0.000  0.000  0.500
S  0.000  0.500  0.000
P  0.500  0.500  0.500
Tc  0.000  0.000  0.000

[16]
This record from the Alexandria database describes a relaxed TcPS2 crystal. The functional is PBE-GGA.

Lattice parameters (Å, degrees): 4.440 5.177 8.251 107.71 101.50 96.32
Element x y z (fractional)
S  0.441  0.205  0.510
S  0.921  0.653  0.363
S  0.310  0.921  0.904
S  0.959  0.434  0.975
P  0.671  0.958  0.117
P  0.240  0.367  0.335
Tc  0.179  0.878  0.178
Tc  0.474  0.372  0.119

[17]
This record from the Alexandria database describes a relaxed TcPS2 crystal. The functional is PBE-GGA.

Lattice parameters (Å, degrees): 6.956 3.152 7.957 90.00 99.56 90.00
Element x y z (fractional)
P  0.470  0.000  0.388
P  0.881  0.000  0.918
S  0.814  0.500  0.570
S  0.277  0.500  0.284
S  0.697  0.000  0.224
S  0.393  0.500  0.778
Tc  0.617  0.000  0.690
Tc  0.653  0.500  0.994

[18]
This record from the Alexandria database describes a relaxed TcP2S6 crystal. The functional is PBE-GGA.

Lattice parameters (Å, degrees): 5.962 7.817 7.817 84.30 80.15 80.15
Element x y z (fractional)
P  0.806  0.386  0.212
P  0.306  0.212  0.386
P  0.694  0.788  0.614
P  0.194  0.614  0.788
Tc  0.250  0.104  0.896
Tc  0.750  0.896  0.104
S  0.355  0.025  0.189
S  0.378  0.383  0.868
S  0.896  0.553  0.711
S  0.645  0.975  0.811
S  0.622  0.617  0.132
S  0.396  0.711  0.553
S  0.855  0.189  0.025
S  0.604  0.289  0.447
S  0.104  0.447  0.289
S  0.878  0.868  0.383
S  0.145  0.811  0.975
S  0.122  0.132  0.617

[19]
This record from the Alexandria database describes a relaxed TcPS2 crystal. The functional is PBE-GGA.

Lattice parameters (Å, degrees): 3.681 5.837 8.166 106.52 97.52 92.91
Element x y z (fractional)
S  0.817  0.108  0.202
S  0.479  0.671  0.315
S  0.183  0.892  0.798
S  0.521  0.329  0.685
P  0.748  0.583  0.107
P  0.252  0.417  0.893
Tc  0.236  0.837  0.066
Tc  0.764  0.163  0.934

[20]
This record from the Alexandria database describes a relaxed TcP2S2 crystal. The functional is PBE-GGA.

Output
Its energy above the most stable polymorph in this dataset is 0.377 eV per atom.

Lattice parameters (Å, degrees): 4.312 4.312 4.325 90.00 90.00 90.00
Element x y z (fractional)
S  0.500  0.000  0.000
S  0.000  0.500  0.000
P  0.000  0.000  0.500
P  0.000  0.000  0.000
Tc  0.500  0.500  0.500

[21]
This record from the Alexandria database describes a relaxed TcPS3 crystal. The functional is PBE-GGA.

Output
Its energy above the most stable polymorph in this dataset is 0.285 eV per atom.

Lattice parameters (Å, degrees): 4.332 4.332 4.332 90.00 90.00 90.00
Element x y z (fractional)
S  0.000  0.000  0.500
S  0.000  0.500  0.000
S  0.500  0.000  0.000
P  0.000  0.000  0.000
Tc  0.500  0.500  0.500

[22]
This record from the Alexandria database describes a relaxed TcP2S2 crystal. The functional is PBE-GGA.

Output
Its energy above the most stable polymorph in this dataset is 0.139 eV per atom.

Lattice parameters (Å, degrees): 4.444 4.444 4.981 90.00 90.00 90.00
Element x y z (fractional)
Tc  0.000  0.000  0.000
P  0.500  0.500  0.500
P  0.000  0.000  0.500
S  0.000  0.500  0.000
S  0.500  0.000  0.000

[23]
This record from the Alexandria database describes a relaxed Tc2P2S crystal. The functional is PBE-GGA.

Output
Its energy above the most stable polymorph in this dataset is 0.049 eV per atom.

Lattice parameters (Å, degrees): 3.510 3.510 6.575 74.52 74.52 90.00
Element x y z (fractional)
Tc  0.378  0.378  0.245
Tc  0.622  0.622  0.755
P  0.750  0.250  0.500
P  0.250  0.750  0.500
S  0.000  0.000  0.000

In order of appearance, E = -0.44650 -0.38951 -0.38562 -0.47905 -0.36912 -0.52013 -0.45097 -0.46169 -0.45983 -0.46546 -0.46217 -0.45951 -0.45156 -0.38707 -0.36294 -0.45527 -0.45938 -0.37969 -0.46321 -0.35934 -0.34200 -0.37688 -0.52836 Ry/atom.
In order of appearance, formation energy from raw total energies = -1.5222 -0.9996 -1.1177 -1.8581 -1.1617 -1.3977 -0.1280 -0.2739 -0.2486 -0.3252 -0.2805 -0.2443 -0.1362 0.6218 0.6936 -0.1866 -0.2425 -0.0603 -0.2946 0.9991 0.9785 0.7605 -0.0529 eV/atom.